1.
A PBEsol-optimized structure of LiNiPO4, computed with meta-GGA SCAN.

Computed properties:
Its energy is -9.90 eV/atom. The relative energy among the computed polymorphs is 66.1 meV per atom. As for the formation energy without anion corrections: -2.199 eV/atom.

Geometry as POSCAR:
```
LiNiPO4
1.0
4.2132 0.0000 0.0000
0.0000 4.7190 0.0000
0.0000 0.0000 14.0193
O Li Ni P
16 4 4 4
direct
0.2441 0.4133 0.4527
0.7559 0.0867 0.4527
0.3128 0.5316 0.1701
0.3128 0.0316 0.8299
0.2441 0.9133 0.5473
0.7441 0.0867 0.9527
0.6872 0.4684 0.8299
0.2559 0.9133 0.0473
0.1872 0.0316 0.3299
0.6872 0.9684 0.1701
0.2559 0.4133 0.9527
0.7559 0.5867 0.5473
0.7441 0.5867 0.0473
0.1872 0.5316 0.6701
0.8128 0.9684 0.6701
0.8128 0.4684 0.3299
0.5000 0.2500 0.2509
0.5000 0.7500 0.7491
0.0000 0.2500 0.7509
0.0000 0.7500 0.2491
0.5000 0.7500 0.4377
0.0000 0.7500 0.9377
0.5000 0.2500 0.5623
0.0000 0.2500 0.0623
0.0000 0.7500 0.6093
0.5000 0.7500 0.1093
0.5000 0.2500 0.8907
0.0000 0.2500 0.3907
```

***

2.
A PBEsol-optimized structure of LiNiPO4, computed with meta-GGA SCAN.

Computed properties:
Its energy is -9.90 eV/atom. The relative energy among the computed polymorphs is 62.7 meV per atom. As for the formation energy without anion corrections: -2.203 eV/atom.

Geometry as POSCAR:
```
LiNiPO4
1.0
-1.0029 4.6416 -1.2228
-4.5108 1.2573 -1.4549
-2.4837 1.5199 15.3705
P Li O Ni
4 4 16 4
direct
0.3293 0.7852 0.6227
0.7852 0.3293 0.1227
0.2148 0.6707 0.8773
0.6707 0.2148 0.3773
0.0115 0.5205 0.3045
0.4795 0.9885 0.1955
0.5205 0.0115 0.8045
0.9885 0.4795 0.6955
0.3674 0.8651 0.5332
0.0214 0.7761 0.6261
0.2239 0.9786 0.8739
0.0506 0.3513 0.1843
0.6487 0.9494 0.3157
0.4639 0.6132 0.1482
0.8651 0.3674 0.0332
0.7761 0.0214 0.1261
0.3868 0.5361 0.3518
0.9786 0.2239 0.3739
0.3513 0.0506 0.6843
0.5361 0.3868 0.8518
0.6132 0.4639 0.6482
0.1349 0.6326 0.9668
0.9494 0.6487 0.8157
0.6326 0.1349 0.4668
0.4090 0.8971 0.4117
0.5910 0.1029 0.5883
0.8971 0.4090 0.9117
0.1029 0.5910 0.0883
```

***

3.
A PBEsol-optimized structure of LiNiP5O15, computed with meta-GGA SCAN.

Computed properties:
Its energy is -9.55 eV/atom. As for the formation energy without anion corrections: -2.095 eV/atom.

Geometry as POSCAR:
```
LiNiP5O15
1.0
-3.7041 -3.0165 -1.1230
5.9568 -5.9958 -3.5422
1.4022 -5.0920 10.9772
O P Li Ni
30 10 2 2
direct
0.6936 0.5950 0.2693
0.6554 0.9005 0.6388
0.3422 0.1736 0.5467
0.8473 0.1273 0.4814
0.0192 0.4081 0.3639
0.6823 0.5565 0.4737
0.7282 0.4203 0.1059
0.5625 0.0838 0.7835
0.1823 0.4435 0.9737
0.0792 0.6812 0.3804
0.7877 0.5620 0.7034
0.7226 0.0990 0.9881
0.2226 0.9010 0.4881
0.3473 0.8727 0.9814
0.7192 0.8598 0.4255
0.9361 0.9008 0.8265
0.2877 0.4380 0.2034
0.9608 0.3410 0.5998
0.1936 0.4050 0.7693
0.5192 0.5919 0.8639
0.0625 0.9162 0.2835
0.4608 0.6590 0.0998
0.2282 0.5797 0.6059
0.4361 0.0992 0.3265
0.5011 0.9031 0.1854
0.0011 0.0969 0.6854
0.8422 0.8264 0.0467
0.5792 0.3188 0.8804
0.2192 0.1402 0.9255
0.1554 0.0995 0.1388
0.5426 0.5133 0.1689
0.3618 0.4532 0.8785
0.0412 0.1805 0.5724
0.7925 0.9799 0.7338
0.2925 0.0201 0.2338
0.5198 0.1526 0.9004
0.5412 0.8195 0.0724
0.8618 0.5468 0.3785
0.0198 0.8474 0.4004
0.0426 0.4867 0.6689
0.5663 0.6756 0.5995
0.0663 0.3244 0.0995
0.0306 0.9821 0.9828
0.5306 0.0179 0.4828
```

***

4.
A PBEsol-optimized structure of Li2NiP3O10, computed with meta-GGA SCAN.

Computed properties:
Its energy is -9.35 eV/atom. As for the formation energy without anion corrections: -2.193 eV/atom.

Geometry as POSCAR:
```
Li2NiP3O10
1.0
4.5704 0.0000 -0.0123
0.0000 8.3324 0.0000
-1.2993 0.0000 9.0395
O Ni P Li
20 2 6 4
direct
0.7296 0.0967 0.8620
0.5213 0.2500 0.2995
0.4787 0.7500 0.7005
0.2704 0.5967 0.1380
0.7296 0.4033 0.8620
0.2310 0.4003 0.4691
0.7690 0.5997 0.5309
0.7410 0.7500 0.2416
0.8669 0.4050 0.1617
0.4324 0.2500 0.0286
0.7054 0.2500 0.5718
0.7690 0.9003 0.5309
0.2310 0.0997 0.4691
0.2590 0.2500 0.7584
0.5676 0.7500 0.9714
0.8669 0.0950 0.1617
0.1331 0.9050 0.8383
0.2704 0.9033 0.1380
0.1331 0.5950 0.8383
0.2946 0.7500 0.4282
0.0000 0.5000 0.0000
0.0000 0.0000 0.0000
0.6881 0.2500 0.1681
0.3119 0.7500 0.8319
0.4622 0.7500 0.1360
0.5835 0.7500 0.5307
0.5378 0.2500 0.8640
0.4165 0.2500 0.4693
0.0192 0.9227 0.3604
0.9808 0.4227 0.6396
0.0192 0.5773 0.3604
0.9808 0.0773 0.6396
```

***

5.
A PBEsol-optimized structure of Li2Ni3P4O14, computed with meta-GGA SCAN.

Computed properties:
Its energy is -10.15 eV/atom. The relative energy among the computed polymorphs is 28.7 meV per atom. As for the formation energy without anion corrections: -2.226 eV/atom.

Geometry as POSCAR:
```
Li2Ni3P4O14
1.0
-3.4679 -2.2062 -3.1179
-2.3897 -5.0286 3.0100
-12.5338 6.6137 6.1070
O P Ni Li
28 8 6 4
direct
0.2128 0.3324 0.0669
0.0415 0.3199 0.8396
0.8153 0.7175 0.7150
0.3762 0.1460 0.7107
0.3491 0.5906 0.9048
0.0007 0.0238 0.2118
0.1713 0.5955 0.5538
0.9993 0.9762 0.7882
0.1266 0.9893 0.5872
0.5734 0.0277 0.1396
0.5993 0.1490 0.5526
0.3202 0.8354 0.0195
0.8734 0.0107 0.4128
0.5823 0.4547 0.2597
0.6798 0.1646 0.9805
0.6509 0.4094 0.0952
0.4177 0.5453 0.7403
0.1458 0.6569 0.3365
0.8542 0.3431 0.6635
0.6238 0.8540 0.2893
0.1847 0.2825 0.2850
0.9585 0.6801 0.1604
0.8287 0.4045 0.4462
0.7872 0.6676 0.9331
0.4007 0.8510 0.4474
0.4164 0.2979 0.4126
0.4266 0.9723 0.8604
0.5836 0.7021 0.5874
0.6629 0.5751 0.6820
0.1980 0.1096 0.7955
0.4738 0.7566 0.9346
0.2998 0.7834 0.5427
0.3371 0.4249 0.3180
0.7002 0.2166 0.4573
0.8020 0.8904 0.2045
0.5262 0.2434 0.0654
0.9339 0.3575 0.1839
0.0661 0.6425 0.8161
0.7862 0.0429 0.6692
0.2138 0.9571 0.3308
0.2145 0.2781 0.5957
0.7855 0.7219 0.4043
0.6159 0.3160 0.8630
0.3841 0.6840 0.1370
0.9785 0.3137 0.9756
0.0215 0.6863 0.0244
```

***

6.
A PBEsol-optimized structure of Li2Ni3P4O14, computed with meta-GGA SCAN.

Computed properties:
Its energy is -10.17 eV/atom. The relative energy among the computed polymorphs is 0.0 meV per atom. As for the formation energy without anion corrections: -2.255 eV/atom.

Geometry as POSCAR:
```
Li2Ni3P4O14
1.0
-1.6425 -4.9109 -4.9715
1.3133 -5.6511 5.1485
-7.5919 2.4499 4.6257
P O Ni Li
8 28 6 4
direct
0.8825 0.2927 0.6938
0.8825 0.2073 0.1938
0.5929 0.9513 0.2167
0.5929 0.5487 0.7167
0.4071 0.4513 0.2833
0.1175 0.7073 0.3062
0.1175 0.7927 0.8062
0.4071 0.0487 0.7833
0.7211 0.8866 0.3798
0.6752 0.3604 0.6951
0.9847 0.7929 0.6345
0.0367 0.9241 0.8945
0.1520 0.6190 0.8842
0.0153 0.2071 0.3655
0.3800 0.5063 0.7030
0.9633 0.4241 0.6055
0.9633 0.0759 0.1055
0.7211 0.6134 0.8798
0.8480 0.3810 0.1158
0.3828 0.3337 0.4081
0.3248 0.8604 0.8049
0.6172 0.8337 0.0919
0.9847 0.7071 0.1345
0.6200 0.0063 0.7970
0.8480 0.1190 0.6158
0.0153 0.2929 0.8655
0.3828 0.1663 0.9081
0.0367 0.5759 0.3945
0.2789 0.1134 0.6202
0.3800 0.9937 0.2030
0.6752 0.1396 0.1951
0.6172 0.6663 0.5919
0.2789 0.3866 0.1202
0.3248 0.6396 0.3049
0.1520 0.8810 0.3842
0.6200 0.4937 0.2970
0.8124 0.8744 0.9784
0.0000 0.0000 0.5000
0.1876 0.3744 0.5216
0.1876 0.1256 0.0216
0.8124 0.6256 0.4784
0.0000 0.5000 0.0000
0.7062 0.9119 0.6284
0.7062 0.5881 0.1284
0.2938 0.0881 0.3716
0.2938 0.4119 0.8716
```

***

7.
A PBEsol-optimized structure of Li2NiP5O15, computed with meta-GGA SCAN.

Computed properties:
Its energy is -9.44 eV/atom. The relative energy among the computed polymorphs is 50.7 meV per atom. As for the formation energy without anion corrections: -2.208 eV/atom.

Geometry as POSCAR:
```
Li2NiP5O15
1.0
7.1700 -0.3854 -0.1266
-3.1611 6.4471 -0.1266
-1.7888 -2.7048 12.8159
O P Li Ni
30 10 4 2
direct
0.2735 0.0178 0.8541
0.8303 0.5452 0.8730
0.4544 0.5011 0.4589
0.7853 0.7713 0.7151
0.3037 0.1096 0.2349
0.0268 0.3059 0.5430
0.0064 0.6063 0.2495
0.5831 0.0277 0.1823
0.9853 0.2243 0.9265
0.3059 0.0268 0.0430
0.0178 0.2735 0.3541
0.1753 0.9614 0.6101
0.5452 0.8303 0.3730
0.5995 0.3879 0.1605
0.6063 0.0064 0.7495
0.1012 0.6293 0.4735
0.7713 0.7853 0.2151
0.3879 0.5995 0.6605
0.8852 0.6333 0.0686
0.5011 0.4544 0.9589
0.9614 0.1753 0.1101
0.0277 0.5831 0.6823
0.7088 0.3010 0.4196
0.6333 0.8852 0.5686
0.1096 0.3037 0.7349
0.7742 0.8424 0.9571
0.6293 0.1012 0.9735
0.8424 0.7742 0.4571
0.3010 0.7088 0.9196
0.2243 0.9853 0.4265
0.6116 0.8297 0.6799
0.3672 0.9416 0.9403
0.8494 0.0899 0.9920
0.1377 0.4516 0.6623
0.0899 0.8494 0.4920
0.5975 0.7322 0.4554
0.4516 0.1377 0.1623
0.9416 0.3672 0.4403
0.7322 0.5975 0.9554
0.8297 0.6116 0.1799
0.4168 0.2444 0.3919
0.8421 0.3021 0.8101
0.2444 0.4168 0.8919
0.3021 0.8421 0.3101
0.0763 0.8672 0.7256
0.8672 0.0763 0.2256
```

***

8.
A PBEsol-optimized structure of LiNiPO4, computed with meta-GGA SCAN.

Computed properties:
Its energy is -9.92 eV/atom. The relative energy among the computed polymorphs is 45.6 meV per atom. As for the formation energy without anion corrections: -2.220 eV/atom.

Geometry as POSCAR:
```
LiNiPO4
1.0
5.5705 0.0000 0.0000
0.0000 5.5705 0.0000
0.0000 0.0000 7.8827
O Ni Li P
16 4 4 4
direct
0.2460 0.9829 0.4909
0.4757 0.2460 0.2373
0.7540 0.0171 0.9909
0.2460 0.5243 0.4873
0.9829 0.2460 0.7591
0.5243 0.7540 0.7373
0.0171 0.2460 0.2409
0.7540 0.9829 0.5091
0.4757 0.7540 0.2627
0.0171 0.7540 0.2591
0.7540 0.4757 0.9873
0.5243 0.2460 0.7627
0.2460 0.0171 0.0091
0.2460 0.4757 0.0127
0.7540 0.5243 0.5127
0.9829 0.7540 0.7409
0.0000 0.2592 0.5000
0.2592 0.0000 0.7500
0.7408 0.0000 0.2500
0.0000 0.7408 0.0000
0.7355 0.5000 0.2500
0.5000 0.7355 0.0000
0.2645 0.5000 0.7500
0.5000 0.2645 0.5000
0.7525 0.7525 0.6250
0.7525 0.2475 0.8750
0.2475 0.7525 0.3750
0.2475 0.2475 0.1250
```